(1)
Below is a crystal of Na2SrV4O12 relaxed with PBEsol, with properties calculated at the SCAN level.

```
data_Na2SrV4O12
_chemical_formula_sum 'Na4 Sr2 V8 O24'
_cell_length_a 10.5465
_cell_length_b 10.5465
_cell_length_c 4.9800
_cell_angle_alpha 90.00
_cell_angle_beta 90.00
_cell_angle_gamma 90.00
_symmetry_space_group_name_H-M 'P 4/n b m'
_symmetry_Int_Tables_number 125
loop_
_symmetry_equiv_pos_as_xyz
'x,y,z'
'-x,-y,-z'
'-y+1/2,x,z'
'y+1/2,-x,-z'
'-x+1/2,-y+1/2,z'
'x+1/2,y+1/2,-z'
'y,-x+1/2,z'
'-y,x+1/2,-z'
'x,-y+1/2,-z'
'-x,y+1/2,z'
'-y+1/2,-x+1/2,-z'
'y+1/2,x+1/2,z'
'-x+1/2,y,-z'
'x+1/2,-y,z'
'y,x,-z'
'-y,-x,z'
loop_
_atom_site_label
_atom_site_type_symbol
_atom_site_fract_x
_atom_site_fract_y
_atom_site_fract_z
_atom_site_occupancy
Na1 Na 0.0000 0.0000 0.0000 1
Sr1 Sr 0.2500 0.2500 0.0000 1
V1 V 0.0328 0.7500 0.5000 1
O1 O 0.0540 0.1822 0.2637 1
O2 O 0.1321 0.6321 0.6533 1
```

## Properties
Total magnetic moment ... 0.000 μB/atom
Uncorrected formation energy ... -2.6746 eV per atom

***

(2)
Below is a crystal of Na2SrV3O9 relaxed with PBEsol, with properties calculated at the SCAN level.

```
data_Na2SrV3O9
_chemical_formula_sum 'Na8 Sr4 V12 O36'
_cell_length_a 5.3903
_cell_length_b 14.8599
_cell_length_c 10.0374
_cell_angle_alpha 90.00
_cell_angle_beta 97.53
_cell_angle_gamma 90.00
_symmetry_space_group_name_H-M 'P 1 21/c 1'
_symmetry_Int_Tables_number 14
loop_
_symmetry_equiv_pos_as_xyz
'x,y,z'
'-x,-y,-z'
'-x,y+1/2,-z+1/2'
'x,-y+1/2,z+1/2'
loop_
_atom_site_label
_atom_site_type_symbol
_atom_site_fract_x
_atom_site_fract_y
_atom_site_fract_z
_atom_site_occupancy
Na1 Na 0.2370 0.2088 0.0286 1
Na2 Na 0.2485 0.5659 0.4775 1
Sr1 Sr 0.2592 0.6135 0.0293 1
V1 V 0.2076 0.0490 0.2960 1
V2 V 0.2109 0.7375 0.7530 1
V3 V 0.2937 0.0990 0.7131 1
O1 O 0.0353 0.0154 0.6462 1
O2 O 0.0389 0.1904 0.6730 1
O3 O 0.1784 0.0617 0.1292 1
O4 O 0.1904 0.7180 0.5871 1
O5 O 0.2438 0.6510 0.2757 1
O6 O 0.2496 0.1424 0.3924 1
O7 O 0.3469 0.0887 0.8759 1
O8 O 0.4791 0.5145 0.8509 1
O9 O 0.4812 0.6880 0.8396 1
```

## Properties
Total magnetic moment ... 0.067 μB/atom
Uncorrected formation energy ... -2.7164 eV per atom

***

(3)
Below is a crystal of Na3TaO relaxed with PBEsol, with properties calculated at the SCAN level.

```
data_Na3TaO
_chemical_formula_sum 'Na3 Ta1 O1'
_cell_length_a 5.9151
_cell_length_b 5.9151
_cell_length_c 5.9151
_cell_angle_alpha 90.00
_cell_angle_beta 90.00
_cell_angle_gamma 90.00
_symmetry_space_group_name_H-M 'P m -3 m'
_symmetry_Int_Tables_number 221
_symmetry_space_group_name_Hall '-P 4 2 3'
loop_
_atom_site_label
_atom_site_type_symbol
_atom_site_fract_x
_atom_site_fract_y
_atom_site_fract_z
_atom_site_occupancy
Na1 Na 0.0000 0.0000 0.5000 1
Ta1 Ta 0.0000 0.0000 0.0000 1
O1 O 0.5000 0.5000 0.5000 1
```

## Properties
Total magnetic moment ... 1.177 μB/atom
Energy above the most stable polymorph in this dataset ... 1274 meV per atom
Uncorrected formation energy ... 1.7736 eV per atom

***

(4)
Below is a crystal of Na3TaO relaxed with PBEsol, with properties calculated at the SCAN level.

```
data_Na3TaO
_chemical_formula_sum 'Na3 Ta1 O1'
_cell_length_a 4.7003
_cell_length_b 4.7003
_cell_length_c 4.7003
_cell_angle_alpha 90.00
_cell_angle_beta 90.00
_cell_angle_gamma 90.00
_symmetry_space_group_name_H-M 'P m -3 m'
_symmetry_Int_Tables_number 221
_symmetry_space_group_name_Hall '-P 4 2 3'
loop_
_atom_site_label
_atom_site_type_symbol
_atom_site_fract_x
_atom_site_fract_y
_atom_site_fract_z
_atom_site_occupancy
Na1 Na 0.0000 0.0000 0.5000 1
Ta1 Ta 0.5000 0.5000 0.5000 1
O1 O 0.0000 0.0000 0.0000 1
```

## Properties
Total magnetic moment ... 0.809 μB/atom
Energy above the most stable polymorph in this dataset ... 0 meV per atom
Uncorrected formation energy ... 0.4992 eV per atom

***

(5)
Below is a crystal of Na8Ta7VO24 relaxed with PBEsol, with properties calculated at the SCAN level.

```
data_Na8Ta7VO24
_chemical_formula_sum 'Na8 Ta7 V1 O24'
_cell_length_a 7.8482
_cell_length_b 7.8482
_cell_length_c 7.8482
_cell_angle_alpha 90.00
_cell_angle_beta 90.00
_cell_angle_gamma 90.00
_symmetry_space_group_name_H-M 'P m -3 m'
_symmetry_Int_Tables_number 221
_symmetry_space_group_name_Hall '-P 4 2 3'
loop_
_atom_site_label
_atom_site_type_symbol
_atom_site_fract_x
_atom_site_fract_y
_atom_site_fract_z
_atom_site_occupancy
Na1 Na 0.2431 0.2431 0.2431 1
Ta1 Ta 0.0000 0.0000 0.5000 1
Ta2 Ta 0.0000 0.5000 0.5000 1
Ta3 Ta 0.5000 0.5000 0.5000 1
V1 V 0.0000 0.0000 0.0000 1
O1 O 0.0000 0.0000 0.2425 1
O2 O 0.0000 0.2493 0.5000 1
O3 O 0.2494 0.5000 0.5000 1
```

## Properties
Total magnetic moment ... 0.000 μB/atom
Uncorrected formation energy ... -2.7729 eV per atom

***

(6)
Below is a crystal of NaTaWO6 relaxed with PBEsol, with properties calculated at the SCAN level.

```
data_NaTaWO6
_chemical_formula_sum 'Na4 Ta4 W4 O24'
_cell_length_a 7.3217
_cell_length_b 7.3347
_cell_length_c 10.3616
_cell_angle_alpha 90.00
_cell_angle_beta 90.00
_cell_angle_gamma 90.00
_symmetry_space_group_name_H-M 'I m m a'
_symmetry_Int_Tables_number 74
_symmetry_space_group_name_Hall '-I 2b 2'
loop_
_atom_site_label
_atom_site_type_symbol
_atom_site_fract_x
_atom_site_fract_y
_atom_site_fract_z
_atom_site_occupancy
Na1 Na 0.0000 0.0000 0.0000 1
Ta1 Ta 0.2500 0.2500 0.2500 1
W1 W 0.0000 0.0000 0.5000 1
O1 O 0.0000 0.2500 0.1786 1
O2 O 0.0000 0.2500 0.5550 1
O3 O 0.1853 0.0619 0.3783 1
```

## Properties
Total magnetic moment ... 0.000 μB/atom
Uncorrected formation energy ... -2.5503 eV per atom

***

(7)
Below is a crystal of NaTbO2 relaxed with PBEsol, with properties calculated at the SCAN level.

```
data_NaTbO2
_chemical_formula_sum 'Na4 Tb4 O8'
_cell_length_a 4.5886
_cell_length_b 4.5886
_cell_length_c 10.3453
_cell_angle_alpha 90.00
_cell_angle_beta 90.00
_cell_angle_gamma 90.00
_symmetry_space_group_name_H-M 'I 41/a m d'
_symmetry_Int_Tables_number 141
loop_
_symmetry_equiv_pos_as_xyz
'x,y,z'
'-x,-y,-z'
'-y+1/4,x+3/4,z+1/4'
'y+1/4,-x+3/4,-z+1/4'
'-x+1/2,-y,z+1/2'
'x+1/2,y,-z+1/2'
'y+1/4,-x+1/4,z+3/4'
'-y+1/4,x+1/4,-z+3/4'
'x,-y,-z'
'-x,y,z'
'-y+1/4,-x+1/4,-z+3/4'
'y+1/4,x+1/4,z+3/4'
'-x+1/2,y,-z+1/2'
'x+1/2,-y,z+1/2'
'y+1/4,x+3/4,-z+1/4'
'-y+1/4,-x+3/4,z+1/4'
'x+1/2,y+1/2,z+1/2'
'-x+1/2,-y+1/2,-z+1/2'
'-y+3/4,x+1/4,z+3/4'
'y+3/4,-x+1/4,-z+3/4'
'-x,-y+1/2,z'
'x,y+1/2,-z'
'y+3/4,-x+3/4,z+1/4'
'-y+3/4,x+3/4,-z+1/4'
'x+1/2,-y+1/2,-z+1/2'
'-x+1/2,y+1/2,z+1/2'
'-y+3/4,-x+3/4,-z+1/4'
'y+3/4,x+3/4,z+1/4'
'-x,y+1/2,-z'
'x,-y+1/2,z'
'y+3/4,x+1/4,-z+3/4'
'-y+3/4,-x+1/4,z+3/4'
loop_
_atom_site_label
_atom_site_type_symbol
_atom_site_fract_x
_atom_site_fract_y
_atom_site_fract_z
_atom_site_occupancy
Na1 Na 0.0000 0.2500 0.3750 1
Tb1 Tb 0.0000 0.2500 0.8750 1
O1 O 0.0000 0.2500 0.0960 1
```

## Properties
Total magnetic moment ... 0.000 μB/atom
Uncorrected formation energy ... -3.0675 eV per atom

***

(8)
Below is a crystal of Na2TeO relaxed with PBEsol, with properties calculated at the SCAN level.

```
data_Na2TeO
_chemical_formula_sum 'Na8 Te4 O4'
_cell_length_a 8.7823
_cell_length_b 8.7823
_cell_length_c 4.6017
_cell_angle_alpha 90.00
_cell_angle_beta 90.00
_cell_angle_gamma 90.00
_symmetry_space_group_name_H-M 'I -4 2 d'
_symmetry_Int_Tables_number 122
_symmetry_space_group_name_Hall 'I -4 2bw'
loop_
_atom_site_label
_atom_site_type_symbol
_atom_site_fract_x
_atom_site_fract_y
_atom_site_fract_z
_atom_site_occupancy
Na1 Na 0.0906 0.7500 0.1250 1
Te1 Te 0.0000 0.0000 0.5000 1
O1 O 0.0000 0.0000 0.0000 1
```

## Properties
Total magnetic moment ... 0.000 μB/atom
Uncorrected formation energy ... -0.9174 eV per atom